VASP calculation (PBE) on an optimized crystal structure of Ti3MnAl.

For the total energy, the calculation gives -0.2585 hartree per atom. Its formation energy is 28 kJ/mol of atoms.

It has space group Pm-3m (No. 221), with a = 4.4809 Å, b = 4.4809 Å, c = 4.4809 Å, α = 90.00°, β = 90.00° and γ = 90.00°. Symmetry generates all atoms from Ti at (0.0000, 0.0000, 0.5000), Mn at (0.0000, 0.0000, 0.0000) and Al at (0.5000, 0.5000, 0.5000).



VASP calculation (PBE) on an optimized crystal structure of Ti3MnAl.

For the total energy, the calculation gives -0.2206 hartree per atom. Its formation energy is 127 kJ/mol of atoms.

It has space group Pm-3m (No. 221), with a = 4.6097 Å, b = 4.6097 Å, c = 4.6097 Å, α = 90.00°, β = 90.00° and γ = 90.00°. Symmetry generates all atoms from Ti at (0.0000, 0.0000, 0.5000), Mn at (0.5000, 0.5000, 0.5000) and Al at (0.0000, 0.0000, 0.0000).



For the records above, the corresponding theoretical density values read 4.16 3.82 g/cm3.